Entry 1:
A plane-wave DFT calculation with PBE was carried out for a relaxed structure of CeNd3Tm.

- Uncorrected energy: -4.71 eV/atom
- Mass density: 7.3 g cm⁻³

abc: 9.072 9.072 9.484
angles: 90.00 90.00 120.03
Positions (direct):
Ce (0.607, 0.025, 0.250)
Ce (0.025, 0.607, 0.250)
Ce (0.393, 0.975, 0.750)
Ce (0.975, 0.393, 0.750)
Nd (0.733, 0.954, 0.922)
Nd (0.954, 0.733, 0.578)
Nd (0.267, 0.046, 0.078)
Nd (0.046, 0.267, 0.422)
Nd (0.267, 0.046, 0.422)
Nd (0.046, 0.267, 0.078)
Nd (0.733, 0.954, 0.578)
Nd (0.954, 0.733, 0.922)
Nd (0.669, 0.331, 0.000)
Nd (0.331, 0.669, 0.500)
Nd (0.331, 0.669, 0.000)
Nd (0.669, 0.331, 0.500)
Tm (0.145, 0.145, 0.750)
Tm (0.855, 0.855, 0.250)
Tm (0.523, 0.523, 0.750)
Tm (0.477, 0.477, 0.250)

=====

Entry 2:
A plane-wave DFT calculation with PBE was carried out for a relaxed structure of TbThOsPd.

- Uncorrected energy: -7.62 eV/atom
- Mass density: 12.9 g cm⁻³

abc: 5.003 5.003 5.003
angles: 60.00 60.00 60.00
Positions (direct):
Tb (0.250, 0.250, 0.250)
Os (0.500, 0.500, 0.500)
Pd (0.000, 0.000, 0.000)
Th (0.750, 0.750, 0.750)

=====

Entry 3:
A plane-wave DFT calculation with PBE was carried out for a relaxed structure of Re2IrRu2.

- Uncorrected energy: -10.31 eV/atom
- Mass density: 16.6 g cm⁻³

abc: 7.692 7.692 4.889
angles: 97.58 122.92 124.81
Positions (direct):
Re (0.724, 0.368, 0.652)
Re (0.784, 0.928, 0.152)
Re (0.216, 0.072, 0.847)
Re (0.275, 0.631, 0.347)
Ir (0.258, 0.757, 0.866)
Ir (0.609, 0.607, 0.366)
Ru (0.130, 0.880, 0.250)
Ru (0.870, 0.120, 0.750)
Ru (0.389, 0.390, 0.635)
Ru (0.744, 0.245, 0.135)

=====

Entry 4:
A plane-wave DFT calculation with PBE was carried out for a relaxed structure of HfMnAsBr2.

- Raw formation energy: 0.1 eV/f.u.
- Energy above the lowest structure with this stoichiometry: 0.000 eV per atom
- Uncorrected energy: -5.41 eV/atom
- Mass density: 5.4 g cm⁻³

abc: 5.211 5.211 5.315
angles: 90.00 90.00 90.00
Positions (direct):
As (0.000, 0.000, 0.500)
Mn (0.500, 0.500, 0.500)
Hf (0.000, 0.000, 0.000)
Br (0.000, 0.500, 0.000)
Br (0.500, 0.000, 0.000)

=====

Entry 5:
A plane-wave DFT calculation with PBE was carried out for a relaxed structure of Tb3Ce2ErBi6.

- Uncorrected energy: -5.31 eV/atom
- Mass density: 9.2 g cm⁻³

abc: 7.834 7.834 7.838
angles: 99.60 99.60 120.01
Positions (direct):
Tb (0.169, 0.831, 0.500)
Tb (0.831, 0.169, 0.500)
Tb (0.500, 0.500, 0.500)
Ce (0.334, 0.666, 0.000)
Ce (0.666, 0.334, 0.000)
Er (0.000, 0.000, 0.000)
Bi (0.916, 0.587, 0.748)
Bi (0.756, 0.756, 0.254)
Bi (0.084, 0.413, 0.252)
Bi (0.587, 0.916, 0.748)
Bi (0.244, 0.244, 0.746)
Bi (0.413, 0.084, 0.252)

=====

Entry 6:
A plane-wave DFT calculation with PBE was carried out for a relaxed structure of U3O8.

- Raw formation energy: -33.9 eV/f.u.
- Energy above the lowest structure with this stoichiometry: 0.110 eV per atom
- Uncorrected energy: -9.77 eV/atom
- Mass density: 9.7 g cm⁻³

abc: 5.249 5.249 5.249
angles: 90.01 90.01 90.01
Positions (direct):
U (0.000, 0.500, 0.500)
U (0.500, 0.000, 0.500)
U (0.500, 0.500, 0.000)
O (0.740, 0.260, 0.740)
O (0.740, 0.740, 0.260)
O (0.260, 0.740, 0.740)
O (0.740, 0.740, 0.740)
O (0.260, 0.260, 0.260)
O (0.740, 0.260, 0.260)
O (0.260, 0.260, 0.740)
O (0.260, 0.740, 0.260)

=====

Entry 7:
A plane-wave DFT calculation with PBE was carried out for a relaxed structure of Li2AsPbS4.

- Raw formation energy: -4.8 eV/f.u.
- Uncorrected energy: -4.19 eV/atom
- Mass density: 4.0 g cm⁻³

abc: 6.594 6.149 6.149
angles: 81.39 57.58 57.58
Positions (direct):
Li (0.500, 0.750, 0.250)
Li (0.500, 0.250, 0.750)
As (0.000, 0.500, 0.500)
Pb (0.000, 0.000, 0.000)
S (0.585, 0.545, 0.870)
S (0.415, 0.130, 0.455)
S (0.000, 0.455, 0.130)
S (0.000, 0.870, 0.545)

=====

Entry 8:
A plane-wave DFT calculation with PBE was carried out for a relaxed structure of PuNbFe.

- Uncorrected energy: -10.73 eV/atom
- Mass density: 12.0 g cm⁻³

abc: 3.136 3.136 5.957
angles: 105.26 105.26 90.00
Positions (direct):
Nb (0.305, 0.305, 0.611)
Fe (0.689, 0.689, 0.379)
Pu (0.005, 0.005, 0.011)

=====

Entry 9:
A plane-wave DFT calculation with PBE was carried out for a relaxed structure of CsNaPm2Te4.

- Raw formation energy: -10.2 eV/f.u.
- Uncorrected energy: -4.30 eV/atom
- Mass density: 5.2 g cm⁻³

abc: 4.702 8.140 16.675
angles: 90.00 90.00 106.79
Positions (direct):
Cs (0.116, 0.231, 0.750)
Cs (0.884, 0.769, 0.250)
Na (0.825, 0.650, 0.750)
Na (0.175, 0.350, 0.250)
Pm (0.370, 0.740, 0.564)
Pm (0.630, 0.260, 0.064)
Pm (0.630, 0.260, 0.436)
Pm (0.370, 0.740, 0.936)
Te (0.264, 0.528, 0.097)
Te (0.736, 0.472, 0.597)
Te (0.736, 0.472, 0.903)
Te (0.264, 0.528, 0.403)
Te (0.000, 0.000, 0.500)
Te (0.000, 0.000, 0.000)
Te (0.432, 0.865, 0.750)
Te (0.568, 0.135, 0.250)

=====

Entry 10:
A plane-wave DFT calculation with PBE was carried out for a relaxed structure of LiAl2SiO6.

- Raw formation energy: -25.7 eV/f.u.
- Uncorrected energy: -7.02 eV/atom
- Mass density: 2.6 g cm⁻³

abc: 5.526 6.948 6.948
angles: 97.96 73.59 73.59
Positions (direct):
Li (0.250, 0.912, 0.088)
Li (0.750, 0.088, 0.912)
Al (0.342, 0.743, 0.564)
Al (0.158, 0.436, 0.257)
Al (0.658, 0.257, 0.436)
Al (0.842, 0.564, 0.743)
Si (0.250, 0.179, 0.821)
Si (0.750, 0.821, 0.179)
O (0.195, 0.956, 0.788)
O (0.305, 0.212, 0.044)
O (0.805, 0.044, 0.212)
O (0.695, 0.788, 0.956)
O (0.472, 0.833, 0.349)
O (0.028, 0.651, 0.167)
O (0.528, 0.167, 0.651)
O (0.972, 0.349, 0.833)
O (0.065, 0.659, 0.571)
O (0.435, 0.429, 0.341)
O (0.935, 0.341, 0.429)
O (0.565, 0.571, 0.659)

=====

Entry 11:
A plane-wave DFT calculation with PBE was carried out for a relaxed structure of Cs3Na2Sb4.

- Raw formation energy: -3.5 eV/f.u.
- Uncorrected energy: -2.80 eV/atom
- Mass density: 3.7 g cm⁻³

abc: 5.681 7.639 11.625
angles: 64.65 80.00 65.19
Positions (direct):
Cs (0.621, 0.173, 0.598)
Cs (0.000, 0.000, 0.000)
Cs (0.379, 0.827, 0.402)
Na (0.621, 0.444, 0.199)
Na (0.379, 0.556, 0.801)
Sb (0.211, 0.354, 0.090)
Sb (0.921, 0.545, 0.689)
Sb (0.079, 0.455, 0.311)
Sb (0.789, 0.646, 0.910)

=====

Entry 12:
A plane-wave DFT calculation with PBE was carried out for a relaxed structure of PmTcO3.

- Raw formation energy: -10.7 eV/f.u.
- Uncorrected energy: -8.13 eV/atom
- Mass density: 7.7 g cm⁻³

abc: 4.937 6.590 7.774
angles: 98.20 90.00 90.00
Positions (direct):
Pm (0.767, 0.636, 0.157)
Pm (0.233, 0.364, 0.843)
Pm (0.267, 0.364, 0.343)
Pm (0.733, 0.636, 0.657)
Tc (0.289, 0.927, 0.565)
Tc (0.711, 0.073, 0.435)
Tc (0.789, 0.073, 0.935)
Tc (0.211, 0.927, 0.065)
O (0.069, 0.955, 0.322)
O (0.931, 0.045, 0.678)
O (0.569, 0.045, 0.178)
O (0.431, 0.955, 0.822)
O (0.595, 0.776, 0.422)
O (0.405, 0.224, 0.578)
O (0.095, 0.224, 0.078)
O (0.905, 0.776, 0.922)
O (0.211, 0.610, 0.611)
O (0.789, 0.390, 0.389)
O (0.711, 0.390, 0.889)
O (0.289, 0.610, 0.111)

=====

Entry 13:
A plane-wave DFT calculation with PBE was carried out for a relaxed structure of KRu2Se.

- Raw formation energy: 3.6 eV/f.u.
- Uncorrected energy: -4.88 eV/atom
- Mass density: 6.9 g cm⁻³

abc: 3.056 3.056 9.443
angles: 90.00 90.00 118.57
Positions (direct):
K (0.500, 0.500, 0.750)
Ru (0.000, 0.000, 0.055)
Ru (0.000, 0.000, 0.445)
Se (0.500, 0.500, 0.250)

=====

Entry 14:
A plane-wave DFT calculation with PBE was carried out for a relaxed structure of La5PmAg6.

- Uncorrected energy: -4.13 eV/atom
- Mass density: 7.4 g cm⁻³

abc: 5.426 7.526 8.587
angles: 90.00 71.19 90.00
Positions (direct):
La (0.668, 0.500, 0.664)
La (0.333, 0.000, 0.333)
La (0.000, 0.500, 0.000)
La (0.667, 0.000, 0.667)
La (0.332, 0.500, 0.336)
Ag (0.836, 0.754, 0.327)
Ag (0.836, 0.246, 0.327)
Ag (0.500, 0.243, 0.000)
Ag (0.500, 0.757, 0.000)
Ag (0.164, 0.754, 0.673)
Ag (0.164, 0.246, 0.673)
Pm (0.000, 0.000, 0.000)

=====

Entry 15:
A plane-wave DFT calculation with PBE was carried out for a relaxed structure of ZrMoPt4.

- Uncorrected energy: -7.58 eV/atom
- Mass density: 15.6 g cm⁻³

abc: 5.261 5.261 5.261
angles: 60.00 60.00 60.00
Positions (direct):
Zr (0.750, 0.750, 0.750)
Mo (0.000, 0.000, 0.000)
Pt (0.877, 0.374, 0.374)
Pt (0.374, 0.374, 0.877)
Pt (0.374, 0.877, 0.374)
Pt (0.374, 0.374, 0.374)

=====

Entry 16:
A plane-wave DFT calculation with PBE was carried out for a relaxed structure of Al2InTe4.

- Raw formation energy: -2.3 eV/f.u.
- Energy above the lowest structure with this stoichiometry: 0.002 eV per atom
- Uncorrected energy: -3.58 eV/atom
- Mass density: 4.9 g cm⁻³

abc: 6.737 6.753 11.613
angles: 90.00 90.00 119.92
Positions (direct):
Te (0.338, 0.148, 0.000)
Te (0.662, 0.852, 0.000)
Te (0.810, 0.148, 0.500)
Te (0.190, 0.852, 0.500)
Te (0.500, 0.500, 0.676)
Te (0.000, 0.500, 0.824)
Te (0.500, 0.500, 0.324)
Te (0.000, 0.500, 0.176)
Al (0.758, 0.515, 0.000)
Al (0.242, 0.485, 0.000)
Al (0.757, 0.515, 0.500)
Al (0.243, 0.485, 0.500)
In (0.500, 0.000, 0.750)
In (0.500, 0.000, 0.250)

=====

Entry 17:
A plane-wave DFT calculation with PBE was carried out for a relaxed structure of NaHoGa2Br6.

- Raw formation energy: -12.7 eV/f.u.
- Uncorrected energy: -3.47 eV/atom
- Mass density: 4.1 g cm⁻³

abc: 7.379 8.122 10.848
angles: 90.00 87.59 90.00
Positions (direct):
Na (0.500, 0.000, 0.000)
Na (0.000, 0.500, 0.500)
Ho (0.500, 0.000, 0.500)
Ho (0.000, 0.500, 0.000)
Ga (0.020, 0.909, 0.288)
Ga (0.520, 0.591, 0.788)
Ga (0.980, 0.091, 0.712)
Ga (0.480, 0.409, 0.212)
Br (0.316, 0.677, 0.044)
Br (0.816, 0.823, 0.544)
Br (0.684, 0.323, 0.956)
Br (0.184, 0.177, 0.456)
Br (0.325, 0.714, 0.423)
Br (0.825, 0.786, 0.923)
Br (0.675, 0.286, 0.577)
Br (0.175, 0.214, 0.077)
Br (0.867, 0.553, 0.242)
Br (0.367, 0.947, 0.742)
Br (0.133, 0.447, 0.758)
Br (0.633, 0.053, 0.258)

=====

Entry 18:
A plane-wave DFT calculation with PBE was carried out for a relaxed structure of SrCdPt2.

- Uncorrected energy: -3.95 eV/atom
- Mass density: 11.7 g cm⁻³

abc: 3.060 4.564 5.983
angles: 90.00 90.00 90.00
Positions (direct):
Cd (0.500, 0.500, 0.803)
Pt (0.000, 0.000, 0.967)
Pt (0.500, 0.500, 0.262)
Sr (0.000, 0.000, 0.468)

=====

Entry 19:
A plane-wave DFT calculation with PBE was carried out for a relaxed structure of CsCaSbH2.

- Energy above the lowest structure with this stoichiometry: 0.084 eV per atom
- Uncorrected energy: -3.05 eV/atom
- Mass density: 3.6 g cm⁻³

abc: 3.950 4.728 14.935
angles: 90.00 103.59 90.00
Positions (direct):
Cs (0.536, 0.000, 0.884)
Cs (0.536, 0.500, 0.384)
Ca (0.272, 0.000, 0.609)
Ca (0.272, 0.500, 0.109)
Sb (0.826, 0.000, 0.199)
Sb (0.826, 0.500, 0.699)
H (0.187, 0.000, 0.144)
H (0.187, 0.500, 0.644)
H (0.700, 0.000, 0.513)
H (0.700, 0.500, 0.013)

=====

Entry 20:
A plane-wave DFT calculation with PBE was carried out for a relaxed structure of CeInSn2I8.

- Raw formation energy: -8.9 eV/f.u.
- Uncorrected energy: -3.17 eV/atom
- Mass density: 4.5 g cm⁻³

abc: 7.838 7.385 9.598
angles: 89.98 89.99 89.20
Positions (direct):
Ce (0.000, 0.000, 0.000)
In (0.000, 0.000, 0.500)
Sn (0.500, 0.500, 0.745)
Sn (0.500, 0.500, 0.255)
I (0.160, 0.750, 0.233)
I (0.669, 0.753, 0.000)
I (0.839, 0.249, 0.233)
I (0.840, 0.250, 0.767)
I (0.331, 0.247, 0.000)
I (0.161, 0.751, 0.767)
I (0.643, 0.730, 0.500)
I (0.357, 0.270, 0.500)

=====

Entry 21:
A plane-wave DFT calculation with PBE was carried out for a relaxed structure of LiTh2Ga3Ir4.

- Uncorrected energy: -6.82 eV/atom
- Mass density: 12.9 g cm⁻³

abc: 4.153 4.153 10.809
angles: 90.00 90.00 90.00
Positions (direct):
Li (0.500, 0.500, 0.500)
Th (0.500, 0.000, 0.245)
Th (0.000, 0.500, 0.755)
Ga (0.000, 0.000, 0.500)
Ga (0.500, 0.000, 0.875)
Ga (0.000, 0.500, 0.125)
Ir (0.500, 0.500, 0.000)
Ir (0.000, 0.000, 0.000)
Ir (0.500, 0.000, 0.646)
Ir (0.000, 0.500, 0.354)